VASP calculation (PBE-GGA) on crystalline ScCdAg2 at its relaxed geometry.

Unit cell a=3.4456 b=3.4456 c=6.6600 alpha=90.00 beta=90.00 gamma=90.00
Atoms (fractional coordinates):
1 Sc 0.0000 0.0000 0.0000
2 Cd 0.0000 0.0000 0.5000
3 Ag 0.5000 0.5000 0.2438
4 Ag 0.5000 0.5000 0.7562

Computed properties:
calculated formation energy: -213 meV/atom
raw total energy: -13.72 eV per cell

***

VASP calculation (PBE-GGA) on crystalline Nb2SiIr2Pb at its relaxed geometry.

Unit cell a=10.6285 b=4.3257 c=10.7139 alpha=90.00 beta=109.43 gamma=90.00
Atoms (fractional coordinates):
1 Nb 0.0000 0.0000 0.0000
2 Nb 0.1134 0.5000 0.3733
3 Nb 0.2397 0.0000 0.7440
4 Nb 0.3753 0.5000 0.1381
5 Nb 0.4983 0.0000 0.5004
6 Nb 0.6242 0.5000 0.8633
7 Nb 0.7455 0.0000 0.2617
8 Nb 0.8666 0.5000 0.6200
9 Si 0.2454 0.0000 0.2554
10 Si 0.6198 0.5000 0.3785
11 Si 0.7472 0.0000 0.7421
12 Si 0.9908 0.0000 0.4989
13 Ir 0.1352 0.5000 0.1393
14 Ir 0.2269 0.0000 0.4862
15 Ir 0.3699 0.5000 0.8722
16 Ir 0.4993 0.0000 0.2673
17 Ir 0.6284 0.5000 0.6199
18 Ir 0.7499 0.0000 0.9768
19 Ir 0.8631 0.5000 0.3824
20 Ir 0.9837 0.0000 0.7357
21 Pb 0.1186 0.5000 0.8768
22 Pb 0.3679 0.5000 0.6188
23 Pb 0.5019 0.0000 0.0063
24 Pb 0.8681 0.5000 0.1253

Computed properties:
raw total energy: -197.62 eV per cell

***

VASP calculation (PBE-GGA) on crystalline NdSn2S at its relaxed geometry.

Unit cell a=8.2101 b=4.1061 c=6.2865 alpha=90.00 beta=90.00 gamma=90.00
Atoms (fractional coordinates):
1 Nd 0.0000 0.0000 0.0000
2 Nd 0.5000 0.0000 0.0000
3 Sn 0.0000 0.5000 0.5000
4 Sn 0.2500 0.0000 0.4905
5 Sn 0.5000 0.5000 0.5000
6 Sn 0.7500 0.0000 0.5095
7 S 0.2500 0.5000 0.9956
8 S 0.7500 0.5000 0.0044

Computed properties:
raw total energy: -39.76 eV per cell

***

VASP calculation (PBE-GGA) on crystalline SbMo4N3 at its relaxed geometry.

Unit cell a=3.1766 b=3.1766 c=22.7699 alpha=90.00 beta=90.00 gamma=120.00
Atoms (fractional coordinates):
1 Sb 0.3333 0.6667 0.2500
2 Sb 0.6667 0.3333 0.7500
3 Mo 0.0000 0.0000 0.1546
4 Mo 0.0000 0.0000 0.3454
5 Mo 0.0000 0.0000 0.6546
6 Mo 0.0000 0.0000 0.8454
7 Mo 0.3333 0.6667 0.0461
8 Mo 0.3333 0.6667 0.4538
9 Mo 0.6667 0.3333 0.5462
10 Mo 0.6667 0.3333 0.9538
11 N 0.0000 0.0000 0.0000
12 N 0.0000 0.0000 0.5000
13 N 0.3333 0.6667 0.6044
14 N 0.3333 0.6667 0.8956
15 N 0.6667 0.3333 0.1044
16 N 0.6667 0.3333 0.3956

Computed properties:
raw total energy: -143.69 eV per cell

***

VASP calculation (PBE-GGA) on crystalline RbHoZnS3 at its relaxed geometry.

Unit cell a=8.9637 b=3.9898 c=9.6539 alpha=90.00 beta=109.45 gamma=90.00
Atoms (fractional coordinates):
1 Rb 0.2132 0.2500 0.2395
2 Rb 0.7868 0.7500 0.7605
3 Ho 0.3316 0.7500 0.8607
4 Ho 0.6684 0.2500 0.1393
5 Zn 0.0840 0.2500 0.6097
6 Zn 0.9160 0.7500 0.3903
7 S 0.1186 0.2500 0.8566
8 S 0.1945 0.7500 0.5419
9 S 0.4677 0.7500 0.1529
10 S 0.5323 0.2500 0.8471
11 S 0.8055 0.2500 0.4581
12 S 0.8814 0.7500 0.1434

Computed properties:
raw total energy: -56.27 eV per cell

***

VASP calculation (PBE-GGA) on crystalline CdCuSiNi at its relaxed geometry.

Unit cell a=4.3231 b=4.3231 c=4.3231 alpha=60.00 beta=60.00 gamma=60.00
Atoms (fractional coordinates):
1 Cd 0.0000 0.0000 0.0000
2 Cu 0.5000 0.5000 0.5000
3 Si 0.2500 0.2500 0.2500
4 Ni 0.7500 0.7500 0.7500

Computed properties:
E above lowest polymorph: 199 meV/atom
raw total energy: -14.55 eV per cell

***

VASP calculation (PBE-GGA) on crystalline PmTcAsO at its relaxed geometry.

Unit cell a=4.2821 b=4.2782 c=7.3322 alpha=90.00 beta=90.00 gamma=90.00
Atoms (fractional coordinates):
1 Pm 0.0000 0.2415 0.0000
2 Pm 0.0000 0.7585 0.5000
3 Tc 0.5000 0.2676 0.3357
4 Tc 0.5000 0.7324 0.8357
5 As 0.5000 0.2342 0.6698
6 As 0.5000 0.7658 0.1698
7 O 0.0000 0.2647 0.3338
8 O 0.0000 0.7353 0.8338

Computed properties:
E above lowest polymorph: 427 meV/atom
raw total energy: -59.99 eV per cell

***

VASP calculation (PBE-GGA) on crystalline Sr2In4AgPd at its relaxed geometry.

Unit cell a=7.9879 b=6.0460 c=6.0460 alpha=45.01 beta=90.00 gamma=90.00
Atoms (fractional coordinates):
1 Sr 0.0000 0.0000 0.0000
2 Sr 0.5000 0.1266 0.1266
3 In 0.2013 0.7114 0.7114
4 In 0.3085 0.4170 0.4170
5 In 0.6915 0.4170 0.4170
6 In 0.7987 0.7114 0.7114
7 Ag 0.0000 0.2849 0.2849
8 Pd 0.5000 0.8459 0.8459

Computed properties:
raw total energy: -26.14 eV per cell

***

VASP calculation (PBE-GGA) on crystalline Zr3CuPb5 at its relaxed geometry.

Unit cell a=6.1042 b=6.1042 c=8.1044 alpha=90.00 beta=90.00 gamma=120.00
Atoms (fractional coordinates):
1 Zr 0.0000 0.5000 0.0000
2 Zr 0.5000 0.0000 0.0000
3 Zr 0.5000 0.5000 0.0000
4 Cu 0.0000 0.0000 0.5000
5 Pb 0.0000 0.0000 0.0000
6 Pb 0.3333 0.6667 0.3182
7 Pb 0.3333 0.6667 0.6818
8 Pb 0.6667 0.3333 0.3182
9 Pb 0.6667 0.3333 0.6818

Computed properties:
raw total energy: -44.91 eV per cell

***

VASP calculation (PBE-GGA) on crystalline NaSrNi at its relaxed geometry.

Unit cell a=5.0185 b=5.0185 c=5.0185 alpha=60.00 beta=60.00 gamma=60.00
Atoms (fractional coordinates):
1 Na 0.0000 0.0000 0.0000
2 Sr 0.5000 0.5000 0.5000
3 Ni 0.2500 0.2500 0.2500

Computed properties:
E above lowest polymorph: 0 meV/atom
raw total energy: -7.65 eV per cell

***

VASP calculation (PBE-GGA) on crystalline Sr2CdIr at its relaxed geometry.

Unit cell a=5.2061 b=5.2061 c=5.2061 alpha=60.00 beta=60.00 gamma=60.00
Atoms (fractional coordinates):
1 Sr 0.0000 0.0000 0.0000
2 Sr 0.2500 0.2500 0.2500
3 Cd 0.5000 0.5000 0.5000
4 Ir 0.7500 0.7500 0.7500

Computed properties:
raw total energy: -12.75 eV per cell

***

VASP calculation (PBE-GGA) on crystalline NaTmHg6 at its relaxed geometry.

Unit cell a=6.6215 b=6.6215 c=5.0944 alpha=90.00 beta=90.00 gamma=120.00
Atoms (fractional coordinates):
1 Na 0.0000 0.0000 0.0000
2 Tm 0.3333 0.6667 0.5000
3 Hg 0.9997 0.4998 0.0000
4 Hg 0.3335 0.1667 0.5000
5 Hg 0.5002 0.0003 0.0000
6 Hg 0.5002 0.4998 0.0000
7 Hg 0.8333 0.1667 0.5000
8 Hg 0.8333 0.6665 0.5000

Computed properties:
raw total energy: -9.53 eV per cell